No. 1
An optimized crystal structure of NiCSeN2, computed with PBE-GGA.

Cell: 3.1372 3.1372 7.5515 Å, 90.00 90.00 90.00°
Last column: nearest neighbours and their distance in Å.
Atoms (fractional coordinates):
1 C 0.0000 0.0000 0.0000  4 N 1.57
2 Se 0.0000 0.0000 0.5000  4 Ni 2.22
3 N 0.5000 0.0000 0.0000  2 C 1.57
4 N 0.0000 0.5000 0.0000  2 C 1.57
5 Ni 0.5000 0.5000 0.5000  4 Se 2.22

Values from the calculation:
Crystal system: tetragonal
Uncorrected formation energy (eV/atom): 1.879
Distance to the lowest polymorph of the same formula (meV/atom): 0

No. 2
An optimized crystal structure of NiCSeN2, computed with PBE-GGA.

Cell: 3.3871 3.3871 7.8612 Å, 90.00 90.00 90.00°
Last column: nearest neighbours and their distance in Å.
Atoms (fractional coordinates):
1 N 0.5000 0.0000 0.0000  2 Ni 1.69
2 Se 0.0000 0.0000 0.5000  4 C 2.40
3 N 0.0000 0.5000 0.0000  2 Ni 1.69
4 C 0.5000 0.5000 0.5000  4 Se 2.40
5 Ni 0.0000 0.0000 0.0000  4 N 1.69

Values from the calculation:
Crystal system: tetragonal
Uncorrected formation energy (eV/atom): 2.073
Distance to the lowest polymorph of the same formula (meV/atom): 194

No. 3
An optimized crystal structure of Sm3NiC2N6, computed with PBE-GGA.

Cell: 5.2947 5.2947 6.2076 Å, 90.00 90.00 120.00°
Last column: nearest neighbours and their distance in Å.
Atoms (fractional coordinates):
1 Sm 0.6667 0.3333 0.3373  1 C 2.50, 9 N 2.68-2.78
2 N 0.8157 0.1843 0.7281  1 C 1.37
3 Sm 0.0000 0.0000 0.0000  6 N 2.39
4 Ni 0.0000 0.0000 0.5000  6 N 2.20
5 C 0.6667 0.3333 0.7398  3 N 1.37
6 N 0.1843 0.3686 0.2719  1 C 1.37
7 N 0.6314 0.8157 0.2719  1 C 1.37
8 N 0.8157 0.6314 0.7281  1 C 1.37
9 N 0.3686 0.1843 0.7281  1 C 1.37
10 Sm 0.3333 0.6667 0.6627  1 C 2.50, 9 N 2.68-2.78
11 N 0.1843 0.8157 0.2719  1 C 1.37
12 C 0.3333 0.6667 0.2602  3 N 1.37

Values from the calculation:
Crystal system: trigonal
Uncorrected formation energy (eV/atom): -0.557

No. 4
An optimized crystal structure of Ti2NiCN, computed with PBE-GGA.

Cell: 4.1392 3.2317 4.1392 Å, 90.00 90.00 90.00°
Last column: nearest neighbours and their distance in Å.
Atoms (fractional coordinates):
1 Ti 0.0000 0.0000 0.5000  2 N 2.07
2 N 0.0000 0.0000 0.0000  2 C 1.62
3 C 0.0000 0.5000 0.0000  2 N 1.62
4 Ti 0.5000 0.0000 0.0000  2 N 2.07
5 Ni 0.5000 0.5000 0.5000  8 Ti 2.63, 4 C 2.93

Values from the calculation:
Crystal system: tetragonal
Uncorrected formation energy (eV/atom): 0.315

No. 5
An optimized crystal structure of YNiCN2, computed with PBE-GGA.

Cell: 3.6196 3.6196 4.4763 Å, 90.00 90.00 90.00°
Last column: nearest neighbours and their distance in Å.
Atoms (fractional coordinates):
1 N 0.5000 0.0000 0.0000  2 C 1.81
2 N 0.0000 0.5000 0.0000  2 C 1.81
3 Y 0.0000 0.0000 0.5000  2 C 2.24
4 Ni 0.5000 0.5000 0.5000  4 Y 2.56
5 C 0.0000 0.0000 0.0000  4 N 1.81

Values from the calculation:
Crystal system: tetragonal
Uncorrected formation energy (eV/atom): 1.798

No. 6
An optimized crystal structure of ZnNiCN2, computed with PBE-GGA.

Cell: 3.4135 5.8485 3.4135 Å, 90.00 90.00 90.00°
Last column: nearest neighbours and their distance in Å.
Atoms (fractional coordinates):
1 C 0.5000 0.5000 0.5000  4 Zn 2.41
2 Ni 0.0000 0.0000 0.0000  4 N 1.71
3 Zn 0.0000 0.5000 0.0000  4 C 2.41
4 N 0.5000 0.0000 0.0000  2 Ni 1.71
5 N 0.0000 0.0000 0.5000  2 Ni 1.71

Values from the calculation:
Crystal system: tetragonal
Uncorrected formation energy (eV/atom): 2.087

No. 7
An optimized crystal structure of Np6CN5, computed with PBE-GGA.

Cell: 5.9918 5.9918 5.9912 Å, 99.59 99.59 120.02°
Last column: nearest neighbours and their distance in Å.
Atoms (fractional coordinates):
1 C 0.0000 0.0000 0.0000  6 Np 2.47
2 Np 0.9160 0.5793 0.7482  5 N 2.44-2.45, 1 C 2.47
3 N 0.1640 0.8360 0.5000  6 Np 2.43-2.45
4 N 0.6669 0.3331 0.0000  6 Np 2.44-2.45
5 N 0.8360 0.1640 0.5000  6 Np 2.43-2.45
6 Np 0.2527 0.2527 0.7482  5 N 2.42-2.45, 1 C 2.47
7 Np 0.0840 0.4207 0.2518  5 N 2.44-2.45, 1 C 2.47
8 Np 0.5793 0.9160 0.7482  5 N 2.44-2.45, 1 C 2.47
9 N 0.3331 0.6669 0.0000  6 Np 2.44-2.45
10 Np 0.4207 0.0840 0.2518  5 N 2.44-2.45, 1 C 2.47
11 N 0.5000 0.5000 0.5000  6 Np 2.42-2.45
12 Np 0.7473 0.7473 0.2518  5 N 2.42-2.45, 1 C 2.47

Values from the calculation:
Crystal system: monoclinic
Uncorrected formation energy (eV/atom): -0.903

No. 8
An optimized crystal structure of NpCN, computed with PBE-GGA.

Cell: 5.1837 3.4803 3.4803 Å, 120.00 90.00 90.00°
Last column: nearest neighbours and their distance in Å.
Atoms (fractional coordinates):
1 N 0.1746 0.0000 0.0000  3 Np 2.16
2 C 0.4978 0.3333 0.6667  3 Np 2.19
3 Np 0.3276 0.6667 0.3333  3 N 2.16, 3 C 2.19

Values from the calculation:
Crystal system: trigonal
Uncorrected formation energy (eV/atom): 0.291
Distance to the lowest polymorph of the same formula (meV/atom): 719

Question: Which value of uncorrected formation energy does entry 2 give?
Answer: 2.073 eV/atom